PBE Sm5DyHo4, optimized geometry; excess energy over the best structure of this formula in the dataset = 0 meV per atom; density of states at the Fermi level = 1.431 states/eV per atom; theoretical density = 8.02 g/cm3; ΔH_f (0 K) = 0.039 eV/atom; magnetic moment = 0.000 μB/f.u.
1.0
8.5265 -1.7729 0.0000
8.5265 1.7729 0.0000
-3.7158 0.0000 10.7856
Sm Dy Ho
5 1 4
direct
0.0000 0.0000 0.0000 Sm
0.2900 0.2900 0.3849 Sm
0.3107 0.3107 0.9223 Sm
0.6893 0.6893 0.0777 Sm
0.7100 0.7100 0.6151 Sm
0.0000 0.0000 0.5000 Dy
0.1048 0.1048 0.7956 Ho
0.4173 0.4173 0.7067 Ho
0.5827 0.5827 0.2933 Ho
0.8952 0.8952 0.2044 Ho

---

PBE Zr2NpH, optimized geometry; density of states at the Fermi level = 1.756 states/eV per atom; theoretical density = 9.87 g/cm3; magnetic moment = 3.101 μB/f.u.; E = -32.619 eV per formula unit
1.0
1.5192 0.8771 8.8435
-1.5192 0.8771 8.8435
0.0000 -1.7542 8.8435
Zr Np H
2 1 1
direct
0.1139 0.1139 0.1139 Zr
0.8861 0.8861 0.8861 Zr
0.0000 0.0000 0.0000 Np
0.5000 0.5000 0.5000 H

---

PBE Ta2TcAu, optimized geometry; excess energy over the best structure of this formula in the dataset = 228 meV per atom; density of states at the Fermi level = 0.920 states/eV per atom; theoretical density = 15.26 g/cm3; ΔH_f (0 K) = 0.094 eV/atom; magnetic moment = 0.000 μB/f.u.
1.0
1.5689 0.9058 8.3811
-1.5689 0.9058 8.3811
0.0000 -1.8116 8.3811
Ta Tc Au
2 1 1
direct
0.2432 0.2432 0.2432 Ta
0.7568 0.7568 0.7568 Ta
0.5000 0.5000 0.5000 Tc
0.0000 0.0000 0.0000 Au

---

PBE Ga3AgB, optimized geometry; excess energy over the best structure of this formula in the dataset = 787 meV per atom; density of states at the Fermi level = 0.530 states/eV per atom; theoretical density = 4.52 g/cm3; ΔH_f (0 K) = 1.208 eV/atom; magnetic moment = 0.000 μB/f.u.
1.0
4.9378 0.0000 0.0000
0.0000 4.9378 0.0000
0.0000 0.0000 4.9378
Ga Ag B
3 1 1
direct
0.0000 0.0000 0.5000 Ga
0.0000 0.5000 0.0000 Ga
0.5000 0.0000 0.0000 Ga
0.0000 0.0000 0.0000 Ag
0.5000 0.5000 0.5000 B

---

PBE Nd3Sn5Au6, optimized geometry; density of states at the Fermi level = 0.438 states/eV per atom; theoretical density = 11.13 g/cm3; ΔH_f (0 K) = -0.609 eV/atom; magnetic moment = 0.000 μB/f.u.
1.0
4.6156 0.0000 0.0000
0.0000 13.5922 0.0000
0.0000 0.0000 10.4977
Nd Sn Au
6 10 12
direct
0.2500 0.0649 0.2443 Nd
0.2500 0.4351 0.2443 Nd
0.2500 0.7500 0.2441 Nd
0.7500 0.2500 0.7559 Nd
0.7500 0.5649 0.7557 Nd
0.7500 0.9351 0.7557 Nd
0.2500 0.0895 0.8770 Sn
0.2500 0.4105 0.8770 Sn
0.2500 0.6114 0.5231 Sn
0.2500 0.7500 0.7756 Sn
0.2500 0.8886 0.5231 Sn
0.7500 0.1114 0.4769 Sn
0.7500 0.2500 0.2244 Sn
0.7500 0.3886 0.4769 Sn
0.7500 0.5895 0.1230 Sn
0.7500 0.9105 0.1230 Sn
0.2500 0.0853 0.6210 Au
0.2500 0.2500 0.0440 Au
0.2500 0.2500 0.4399 Au
0.2500 0.4147 0.6210 Au
0.2500 0.6031 0.9757 Au
0.2500 0.8969 0.9757 Au
0.7500 0.1031 0.0243 Au
0.7500 0.3969 0.0243 Au
0.7500 0.5853 0.3790 Au
0.7500 0.7500 0.5601 Au
0.7500 0.7500 0.9560 Au
0.7500 0.9147 0.3790 Au

---

PBE Sr2BrCl, optimized geometry; excess energy over the best structure of this formula in the dataset = 164 meV per atom; density of states at the Fermi level = 0.724 states/eV per atom; formation energy (no corrections) = -139 kJ per mole of atoms; theoretical density = 3.20 g/cm3; magnetic moment = 0.000 μB/f.u.
1.0
1.9976 -3.9262 0.0000
1.9976 3.9262 0.0000
0.0000 0.0000 9.6219
Sr Br Cl
2 1 1
direct
0.0000 0.0000 0.2418 Sr
0.0000 0.0000 0.7582 Sr
0.5000 0.5000 0.5000 Br
0.5000 0.5000 0.0000 Cl

---

PBE LiCaPu2S4, optimized geometry; density of states at the Fermi level = 3.079 states/eV per atom; formation energy (no corrections) = -163 kJ per mole of atoms; theoretical density = 6.17 g/cm3; magnetic moment = 0.136 μB/f.u.
1.0
6.8679 0.0000 0.0000
0.0000 4.0002 0.0000
-2.3862 0.0000 6.4993
Li Ca Pu S
1 1 2 4
direct
0.0000 0.0000 0.0000 Li
0.0000 0.5000 0.5000 Ca
0.5000 0.0000 0.5000 Pu
0.5000 0.5000 0.0000 Pu
0.2519 0.0000 0.7541 S
0.2526 0.5000 0.2510 S
0.7474 0.5000 0.7490 S
0.7481 0.0000 0.2459 S

---

PBE LaGeC, optimized geometry; excess energy over the best structure of this formula in the dataset = 98 meV per atom; density of states at the Fermi level = 0.318 states/eV per atom; theoretical density = 5.82 g/cm3; ΔH_f (0 K) = -0.324 eV/atom; magnetic moment = 0.000 μB/f.u.
1.0
3.5571 -2.0366 0.0000
3.5571 2.0366 0.0000
-1.4129 0.0000 8.8091
La Ge C
2 2 2
direct
0.0000 0.0000 0.0000 La
0.2051 0.2051 0.3886 La
0.6074 0.6074 0.7385 Ge
0.9174 0.9174 0.6251 Ge
0.3433 0.3433 0.1360 C
0.5091 0.5091 0.2298 C

---

PBE RhBrF2, optimized geometry; excess energy over the best structure of this formula in the dataset = 277 meV per atom; density of states at the Fermi level = 0.943 states/eV per atom; formation energy (no corrections) = -27 kJ per mole of atoms; theoretical density = 5.42 g/cm3; magnetic moment = 0.000 μB/f.u.
1.0
-2.1957 2.1957 7.0146
2.1957 -2.1957 7.0146
2.1957 2.1957 -7.0146
Rh Br F
2 2 4
direct
0.0000 0.0000 0.0000 Rh
0.7500 0.2500 0.5000 Rh
0.2500 0.7500 0.5000 Br
0.5000 0.5000 0.0000 Br
0.3750 0.1852 0.3102 F
0.8148 0.1250 0.1898 F
0.8750 0.0648 0.6898 F
0.9352 0.6250 0.8102 F

---

PBE NdIn3Pt3, optimized geometry; excess energy over the best structure of this formula in the dataset = 0 meV per atom; density of states at the Fermi level = 0.380 states/eV per atom; theoretical density = 11.05 g/cm3; ΔH_f (0 K) = -0.568 eV/atom; magnetic moment = 0.000 μB/f.u.
1.0
4.1031 2.3690 5.5342
-4.1031 2.3690 5.5342
0.0000 -4.7379 5.5342
Nd In Pt
2 6 6
direct
0.1694 0.1694 0.1694 Nd
0.8306 0.8306 0.8306 Nd
0.0607 0.7073 0.3766 In
0.2927 0.6234 0.9393 In
0.3766 0.0607 0.7073 In
0.6234 0.9393 0.2927 In
0.7073 0.3766 0.0607 In
0.9393 0.2927 0.6234 In
0.1506 0.4480 0.7432 Pt
0.2568 0.8494 0.5520 Pt
0.4480 0.7432 0.1506 Pt
0.5520 0.2568 0.8494 Pt
0.7432 0.1506 0.4480 Pt
0.8494 0.5520 0.2568 Pt

---

PBE CaCrSCl2, optimized geometry; excess energy over the best structure of this formula in the dataset = 0 meV per atom; density of states at the Fermi level = 0.075 states/eV per atom; formation energy (no corrections) = -113 kJ per mole of atoms; theoretical density = 2.89 g/cm3; magnetic moment = 4.000 μB/f.u.
1.0
4.7588 0.0000 0.0000
0.0000 4.7588 0.0000
0.0000 0.0000 4.9540
Ca Cr S Cl
1 1 1 2
direct
0.0000 0.0000 0.0000 Ca
0.5000 0.5000 0.5000 Cr
0.5000 0.5000 0.0000 S
0.0000 0.5000 0.5000 Cl
0.5000 0.0000 0.5000 Cl

---

PBE Ba3TeAsCl, optimized geometry; formation energy (no corrections) = -151 kJ per mole of atoms; theoretical density = 4.66 g/cm3; magnetic moment = 0.000 μB/f.u.
1.0
5.0519 -4.4635 0.0000
5.0519 4.4635 0.0000
-2.3984 0.0000 10.2701
Ba Te As Cl
6 2 2 2
direct
0.1480 0.6731 0.6496 Ba
0.2436 0.2436 0.9520 Ba
0.3269 0.8520 0.3504 Ba
0.6731 0.1480 0.6496 Ba
0.7564 0.7564 0.0480 Ba
0.8520 0.3269 0.3504 Ba
0.3338 0.3338 0.2854 Te
0.6662 0.6662 0.7146 Te
0.1729 0.1729 0.6453 As
0.8271 0.8271 0.3547 As
0.2400 0.7600 0.0000 Cl
0.7600 0.2400 0.0000 Cl

---

Copy entry 6 word for word.
PBE Sr2BrCl, optimized geometry; excess energy over the best structure of this formula in the dataset = 164 meV per atom; density of states at the Fermi level = 0.724 states/eV per atom; formation energy (no corrections) = -139 kJ per mole of atoms; theoretical density = 3.20 g/cm3; magnetic moment = 0.000 μB/f.u.
1.0
1.9976 -3.9262 0.0000
1.9976 3.9262 0.0000
0.0000 0.0000 9.6219
Sr Br Cl
2 1 1
direct
0.0000 0.0000 0.2418 Sr
0.0000 0.0000 0.7582 Sr
0.5000 0.5000 0.5000 Br
0.5000 0.5000 0.0000 Cl